ZnMoPO2: relaxed, PBE+U.

E_tot   -4.536 eV per atom

```
ZnMoPO2
1.0
3.807 0.000 0.000
0.000 3.807 0.000
0.000 0.000 4.943
Zn Mo P O
1 1 1 2
Cartesian
0.000 0.000 0.000
1.904 1.904 2.471
0.000 0.000 2.471
0.000 1.904 0.000
1.904 0.000 0.000
```